The following is a PBE calculation of a relaxed ScNbBi2Ir2 crystal, from the Open Quantum Materials Database.

a b c (Å): 4.5355 9.0415 6.4017
angles (deg): 90.00 90.00 90.00
Last column: nearest neighbours and their distance in Å.
Space group Pmn2_1 (No. 31)
Unique sites:
1 Sc 0.0000 0.1251 0.0000  4 Ir 2.81-2.95
2 Nb 0.0000 0.6236 0.0176  4 Ir 2.59-2.75
3 Bi 0.0000 0.1185 0.4968  4 Ir 2.77-2.83
4 Bi 0.0000 0.6322 0.5241  4 Ir 2.73-2.79
5 Ir 0.0000 0.3861 0.2763  3 Nb 2.71-2.75, 4 Bi 2.73-2.80, 1 Sc 2.95
6 Ir 0.0000 0.8620 0.2425  1 Nb 2.59, 4 Bi 2.75-2.83, 3 Sc 2.81-2.84

Results
Size of the total moment   0.0 Bohr magnetons per cell
VASP energy   -90.09 eV for the cell shown
V   21.876 Å³ per atom

The following is a PBE calculation of a relaxed Nd3BiIr crystal, from the Open Quantum Materials Database.

a b c (Å): 4.3766 13.2585 10.7339
angles (deg): 90.00 90.00 90.00
Last column: nearest neighbours and their distance in Å.
Space group Cmcm (No. 63)
Unique sites:
1 Nd 0.0000 0.0675 0.2500  2 Ir 2.83
2 Nd 0.0000 0.3634 0.0447  2 Ir 2.88
3 Bi 0.0000 0.2407 0.7500  8 Nd 3.36-3.56
4 Ir 0.0000 0.0000 0.0000  6 Nd 2.83-2.88

Results
Size of the total moment   0.0 Bohr magnetons per cell
VASP energy   -122.30 eV for the cell shown
V   31.143 Å³ per atom

The following is a PBE calculation of a relaxed NiBiIr2 crystal, from the Open Quantum Materials Database.

a b c (Å): 6.4007 6.4007 6.4007
angles (deg): 90.00 90.00 90.00
Last column: nearest neighbours and their distance in Å.
Space group F-43m (No. 216)
Unique sites:
1 Ni 0.0000 0.0000 0.0000  4 Ir 2.77, 4 Bi 2.77
2 Bi 0.2500 0.2500 0.7500  4 Ni 2.77, 4 Ir 2.77
3 Ir 0.0000 0.0000 0.5000  4 Bi 2.77, 4 Ir 2.77
4 Ir 0.2500 0.2500 0.2500  4 Ni 2.77, 4 Ir 2.77

Results
Size of the total moment   0.3 Bohr magnetons per cell
VASP energy   -101.46 eV for the cell shown
V   16.389 Å³ per atom

The following is a PBE calculation of a relaxed Ni2BiIr crystal, from the Open Quantum Materials Database.

a b c (Å): 6.2438 6.2438 6.2438
angles (deg): 90.00 90.00 90.00
Last column: nearest neighbours and their distance in Å.
Space group F-43m (No. 216)
Unique sites:
1 Ni 0.0000 0.0000 0.0000  4 Ni 2.70, 4 Ir 2.70
2 Ni 0.2500 0.2500 0.2500  4 Bi 2.70, 4 Ni 2.70
3 Bi 0.0000 0.0000 0.5000  4 Ir 2.70, 4 Ni 2.70
4 Ir 0.2500 0.2500 0.7500  4 Ni 2.70, 4 Bi 2.70

Results
Size of the total moment   0.0 Bohr magnetons per cell
VASP energy   -91.10 eV for the cell shown
V   15.213 Å³ per atom

The following is a PBE calculation of a relaxed ScNiBiIr crystal, from the Open Quantum Materials Database.

a b c (Å): 6.5583 6.5583 6.5583
angles (deg): 90.00 90.00 90.00
Last column: nearest neighbours and their distance in Å.
Space group F-43m (No. 216)
Unique sites:
1 Sc 0.0000 0.0000 0.0000  4 Ir 2.84, 4 Bi 2.84
2 Ni 0.0000 0.0000 0.5000  4 Bi 2.84, 4 Ir 2.84
3 Bi 0.2500 0.2500 0.2500  4 Sc 2.84, 4 Ni 2.84
4 Ir 0.2500 0.2500 0.7500  4 Ni 2.84, 4 Sc 2.84

Results
Size of the total moment   0.1 Bohr magnetons per cell
VASP energy   -100.15 eV for the cell shown
V   17.630 Å³ per atom

The following is a PBE calculation of a relaxed TaNiBiIr crystal, from the Open Quantum Materials Database.

a b c (Å): 6.4945 6.4945 6.4945
angles (deg): 90.00 90.00 90.00
Last column: nearest neighbours and their distance in Å.
Space group F-43m (No. 216)
Unique sites:
1 Ta 0.0000 0.0000 0.0000  4 Bi 2.81, 4 Ir 2.81
2 Ni 0.0000 0.0000 0.5000  4 Bi 2.81, 4 Ir 2.81
3 Bi 0.2500 0.2500 0.2500  4 Ta 2.81, 4 Ni 2.81
4 Ir 0.2500 0.2500 0.7500  4 Ta 2.81, 4 Ni 2.81

Results
Size of the total moment   0.0 Bohr magnetons per cell
VASP energy   -116.94 eV for the cell shown
V   17.121 Å³ per atom

The following is a PBE calculation of a relaxed TcNiBiIr crystal, from the Open Quantum Materials Database.

a b c (Å): 6.3731 6.3731 6.3731
angles (deg): 90.00 90.00 90.00
Last column: nearest neighbours and their distance in Å.
Space group F-43m (No. 216)
Unique sites:
1 Tc 0.0000 0.0000 0.0000  4 Bi 2.76, 4 Ir 2.76
2 Ni 0.0000 0.0000 0.5000  4 Bi 2.76, 4 Ir 2.76
3 Bi 0.2500 0.2500 0.2500  4 Tc 2.76, 4 Ni 2.76
4 Ir 0.2500 0.2500 0.7500  4 Tc 2.76, 4 Ni 2.76

Results
Size of the total moment   0.2 Bohr magnetons per cell
VASP energy   -107.69 eV for the cell shown
V   16.178 Å³ per atom

The following is a PBE calculation of a relaxed BiIr2O4 crystal, from the Open Quantum Materials Database.

a b c (Å): 9.1509 9.1509 9.1509
angles (deg): 90.00 90.00 90.00
Last column: nearest neighbours and their distance in Å.
Space group Fd-3m (No. 227, origin choice 2)
Unique sites:
1 Bi 0.1250 0.1250 0.1250  4 O 2.37
2 Ir 0.0000 0.0000 0.5000  6 O 2.09
3 O 0.0245 0.0245 0.7255  3 Ir 2.09

Results
Size of the total moment   0.2 Bohr magnetons per cell
VASP energy   -357.39 eV for the cell shown
V   13.684 Å³ per atom